Entry from Alexandria via LeMat-Bulk: an optimized crystal structure of RbNa2WO4 (PBE with a Hubbard U).

Geometry as POSCAR:
```
RbNa2WO4
1.0
-3.422 3.416 -3.091
-2.418 -4.769 2.084
1.808 2.118 5.018
O Rb Na W
4 1 2 1
Cartesian
0.580 0.320 3.244
-2.372 0.964 1.153
-1.041 -2.322 2.119
-1.810 -0.848 4.597
0.000 0.000 0.000
-3.073 -1.339 1.272
-0.960 2.105 2.739
-0.305 -1.325 3.551
```

Computed properties:
- Final energy: -45.01 eV/cell